Record 1
# Ac4Bi2AsPb

A geometry-optimized Ac4Bi2AsPb structure (PBE, the Alexandria database).

Output
* E_form: -7.48 eV per formula unit
* crystal system: monoclinic
* spin magnetization: 0.00 μB/f.u.

Cell: 8.2434 4.7523 8.4145 Å, 90.00 109.06 90.00°
Last column: nearest neighbours and their distance in Å.
Fractional positions:
Ac: 0.2352 0.0000 0.2357  2 As 3.29, 3 Bi 3.39-3.49, 1 Pb 3.39
Ac: 0.2421 0.5000 0.7583  1 As 3.28, 3 Bi 3.39-3.50, 2 Pb 3.39
Ac: 0.7579 0.5000 0.2417  1 As 3.28, 3 Bi 3.39-3.50, 2 Pb 3.39
Ac: 0.7648 0.0000 0.7643  2 As 3.29, 3 Bi 3.39-3.49, 1 Pb 3.39
Bi: 0.5000 0.0000 0.0000  6 Ac 3.39
Bi: 0.5000 0.5000 0.5000  6 Ac 3.49-3.50
As: 0.0000 0.5000 0.0000  6 Ac 3.28-3.29
Pb: 0.0000 0.0000 0.5000  6 Ac 3.39



Record 2
# Mn2MoAu

A geometry-optimized Mn2MoAu structure (PBE, the Alexandria database).

Output
* E_form: 1.60 eV per formula unit
* relative energy among the computed polymorphs: 1.12 eV per formula unit
* crystal system: cubic
* spin magnetization: 0.00 μB/f.u.

Cell: 6.0421 6.0421 6.0421 Å, 90.00 90.00 90.00°
Last column: nearest neighbours and their distance in Å.
Fractional positions:
Mn: 0.2500 0.2500 0.2500  4 Mo 2.62, 4 Au 2.62
Mn: 0.2500 0.2500 0.7500  4 Mo 2.62, 4 Au 2.62
Mn: 0.2500 0.7500 0.2500  4 Mo 2.62, 4 Au 2.62
Mn: 0.2500 0.7500 0.7500  4 Mo 2.62, 4 Au 2.62
Mn: 0.7500 0.2500 0.2500  4 Mo 2.62, 4 Au 2.62
Mn: 0.7500 0.2500 0.7500  4 Mo 2.62, 4 Au 2.62
Mn: 0.7500 0.7500 0.2500  4 Mo 2.62, 4 Au 2.62
Mn: 0.7500 0.7500 0.7500  4 Au 2.62, 4 Mo 2.62
Mo: 0.0000 0.0000 0.0000  8 Mn 2.62
Mo: 0.0000 0.5000 0.5000  8 Mn 2.62
Mo: 0.5000 0.0000 0.5000  8 Mn 2.62
Mo: 0.5000 0.5000 0.0000  8 Mn 2.62
Au: 0.0000 0.0000 0.5000  8 Mn 2.62
Au: 0.0000 0.5000 0.0000  8 Mn 2.62
Au: 0.5000 0.0000 0.0000  8 Mn 2.62
Au: 0.5000 0.5000 0.5000  8 Mn 2.62



Record 3
# Ti2Co3

A geometry-optimized Ti2Co3 structure (PBE, the Alexandria database).

Output
* E_form: -0.85 eV per formula unit
* crystal system: orthorhombic
* spin magnetization: 0.00 μB/f.u.

Cell: 6.2846 6.2846 6.2846 Å, 129.61 69.02 136.10°
Last column: nearest neighbours and their distance in Å.
Fractional positions:
Ti: 0.1750 0.2029 0.3779  6 Co 2.42-2.62
Ti: 0.3250 0.7029 0.0279  6 Co 2.42-2.62
Ti: 0.6750 0.2971 0.9721  6 Co 2.42-2.62
Ti: 0.8250 0.7971 0.6221  6 Co 2.42-2.62
Co: 0.0931 0.6511 0.7442  3 Co 2.41-2.52, 4 Ti 2.42-2.62
Co: 0.2500 0.2500 0.0000  6 Co 2.35-2.41, 4 Ti 2.42
Co: 0.4069 0.1511 0.5580  3 Co 2.41-2.52, 4 Ti 2.42-2.62
Co: 0.5931 0.8489 0.4420  3 Co 2.41-2.52, 4 Ti 2.42-2.62
Co: 0.7500 0.7500 0.0000  6 Co 2.35-2.41, 4 Ti 2.42
Co: 0.9069 0.3489 0.2558  3 Co 2.41-2.52, 4 Ti 2.42-2.62



Record 4
# PrNd4Ge4

A geometry-optimized PrNd4Ge4 structure (PBE, the Alexandria database).

Output
* E_form: -5.06 eV per formula unit
* crystal system: tetragonal
* spin magnetization: 0.00 μB/f.u.

Cell: 9.3222 9.3222 6.0640 Å, 90.00 90.00 90.00°
Last column: nearest neighbours and their distance in Å.
Fractional positions:
Pr: 0.2500 0.2500 0.2500  4 Ge 2.92
Pr: 0.7500 0.7500 0.7500  4 Ge 2.92
Nd: 0.0568 0.6660 0.1299  5 Ge 2.96-3.26
Nd: 0.1660 0.9432 0.6299  5 Ge 2.96-3.26
Nd: 0.3340 0.5568 0.6299  5 Ge 2.96-3.26
Nd: 0.4432 0.8340 0.1299  5 Ge 2.96-3.26
Nd: 0.5568 0.1660 0.8701  5 Ge 2.96-3.26
Nd: 0.6660 0.4432 0.3701  5 Ge 2.96-3.26
Nd: 0.8340 0.0568 0.3701  5 Ge 2.96-3.26
Nd: 0.9432 0.3340 0.8701  5 Ge 2.96-3.26
Ge: 0.0237 0.6234 0.6216  1 Ge 2.77, 1 Pr 2.92, 2 Nd 2.96-3.02
Ge: 0.1234 0.9763 0.1216  1 Ge 2.77, 1 Pr 2.92, 2 Nd 2.96-3.02
Ge: 0.3766 0.5237 0.1216  1 Ge 2.77, 1 Pr 2.92, 2 Nd 2.96-3.02
Ge: 0.4763 0.8766 0.6216  1 Ge 2.77, 1 Pr 2.92, 2 Nd 2.96-3.02
Ge: 0.5237 0.1234 0.3784  1 Ge 2.77, 1 Pr 2.92, 2 Nd 2.96-3.02
Ge: 0.6234 0.4763 0.8784  1 Ge 2.77, 1 Pr 2.92, 2 Nd 2.96-3.02
Ge: 0.8766 0.0237 0.8784  1 Ge 2.77, 1 Pr 2.92, 2 Nd 2.96-3.02
Ge: 0.9763 0.3766 0.3784  1 Ge 2.77, 1 Pr 2.92, 2 Nd 2.96-3.02



Record 5
# CaBe3H

A geometry-optimized CaBe3H structure (PBE, the Alexandria database).

Output
* DFT total energy: -2.561 eV per atom
* crystal system: cubic
* spin magnetization: 0.00 μB/f.u.

Cell: 3.9659 3.9659 3.9659 Å, 90.00 90.00 90.00°
Last column: nearest neighbours and their distance in Å.
Fractional positions:
Ca: 0.0000 0.0000 0.0000  12 Be 2.80
Be: 0.0000 0.5000 0.5000  2 H 1.98
Be: 0.5000 0.0000 0.5000  2 H 1.98
Be: 0.5000 0.5000 0.0000  2 H 1.98
H: 0.5000 0.5000 0.5000  6 Be 1.98



Record 6
# Ta2Pt3

A geometry-optimized Ta2Pt3 structure (PBE, the Alexandria database).

Output
* E_form: -2.83 eV per formula unit
* relative energy among the computed polymorphs: 0.00 eV per formula unit
* crystal system: orthorhombic
* spin magnetization: 0.00 μB/f.u.

Cell: 7.3217 5.3189 8.2209 Å, 61.10 39.49 79.41°
Last column: nearest neighbours and their distance in Å.
Fractional positions:
Ta: 0.2601 0.7399 0.3530  9 Pt 2.71-3.00
Ta: 0.6030 0.8970 0.5101  9 Pt 2.71-3.00
Ta: 0.7399 0.2601 0.6470  9 Pt 2.71-3.00
Ta: 0.8970 0.6030 0.9899  9 Pt 2.71-3.00
Pt: 0.1384 0.8223 0.0885  4 Pt 2.68-2.82, 5 Ta 2.71-2.99
Pt: 0.1615 0.2993 0.1116  4 Pt 2.68-2.82, 5 Ta 2.71-2.99
Pt: 0.2993 0.1615 0.4277  4 Pt 2.68-2.82, 5 Ta 2.71-2.99
Pt: 0.4073 0.4073 0.5927  6 Ta 2.72-2.95, 4 Pt 2.79-2.82
Pt: 0.6573 0.6573 0.8427  6 Ta 2.72-2.95, 4 Pt 2.79-2.82
Pt: 0.8223 0.1384 0.9507  4 Pt 2.68-2.82, 5 Ta 2.71-2.99



Record 7
# Ir3Se

A geometry-optimized Ir3Se structure (PBE, the Alexandria database).

Output
* relative energy among the computed polymorphs: 1.07 eV per formula unit
* energy relative to the elements, uncorrected: 0.556 eV/atom
* crystal system: cubic
* spin magnetization: 0.00 μB/f.u.

Cell: 3.9374 3.9374 3.9374 Å, 90.00 90.00 90.00°
Last column: nearest neighbours and their distance in Å.
Fractional positions:
Ir: 0.0000 0.0000 0.5000  4 Se 2.78, 8 Ir 2.78
Ir: 0.0000 0.5000 0.0000  4 Se 2.78, 8 Ir 2.78
Ir: 0.5000 0.0000 0.0000  4 Se 2.78, 8 Ir 2.78
Se: 0.5000 0.5000 0.5000  12 Ir 2.78



Record 8
# CoIrOs2

A geometry-optimized CoIrOs2 structure (PBE, the Alexandria database).

Output
* E_form: 0.56 eV per formula unit
* relative energy among the computed polymorphs: 0.19 eV per formula unit
* crystal system: trigonal
* spin magnetization: 1.83 μB/f.u.

Cell: 2.7130 2.7130 25.9048 Å, 90.00 90.00 120.00°
Last column: nearest neighbours and their distance in Å.
Fractional positions:
Co: 0.0000 0.0000 0.0000  3 Ir 2.62, 3 Os 2.63, 6 Co 2.71
Co: 0.3333 0.6667 0.6667  3 Ir 2.62, 3 Os 2.63, 6 Co 2.71
Co: 0.6667 0.3333 0.3333  3 Ir 2.62, 3 Os 2.63, 6 Co 2.71
Ir: 0.0000 0.0000 0.2523  3 Co 2.62, 6 Ir 2.71, 3 Os 2.74
Ir: 0.3333 0.6667 0.9190  3 Co 2.62, 6 Ir 2.71, 3 Os 2.74
Ir: 0.6667 0.3333 0.5856  3 Co 2.62, 6 Ir 2.71, 3 Os 2.74
Os: 0.0000 0.0000 0.4988  9 Os 2.68-2.71, 3 Ir 2.74
Os: 0.0000 0.0000 0.7482  3 Co 2.63, 9 Os 2.68-2.71
Os: 0.3333 0.6667 0.1654  9 Os 2.68-2.71, 3 Ir 2.74
Os: 0.3333 0.6667 0.4148  3 Co 2.63, 9 Os 2.68-2.71
Os: 0.6667 0.3333 0.0815  3 Co 2.63, 9 Os 2.68-2.71
Os: 0.6667 0.3333 0.8321  9 Os 2.68-2.71, 3 Ir 2.74



Please write out number 6 again, unchanged.
# Ta2Pt3

A geometry-optimized Ta2Pt3 structure (PBE, the Alexandria database).

Output
* E_form: -2.83 eV per formula unit
* relative energy among the computed polymorphs: 0.00 eV per formula unit
* crystal system: orthorhombic
* spin magnetization: 0.00 μB/f.u.

Cell: 7.3217 5.3189 8.2209 Å, 61.10 39.49 79.41°
Last column: nearest neighbours and their distance in Å.
Fractional positions:
Ta: 0.2601 0.7399 0.3530  9 Pt 2.71-3.00
Ta: 0.6030 0.8970 0.5101  9 Pt 2.71-3.00
Ta: 0.7399 0.2601 0.6470  9 Pt 2.71-3.00
Ta: 0.8970 0.6030 0.9899  9 Pt 2.71-3.00
Pt: 0.1384 0.8223 0.0885  4 Pt 2.68-2.82, 5 Ta 2.71-2.99
Pt: 0.1615 0.2993 0.1116  4 Pt 2.68-2.82, 5 Ta 2.71-2.99
Pt: 0.2993 0.1615 0.4277  4 Pt 2.68-2.82, 5 Ta 2.71-2.99
Pt: 0.4073 0.4073 0.5927  6 Ta 2.72-2.95, 4 Pt 2.79-2.82
Pt: 0.6573 0.6573 0.8427  6 Ta 2.72-2.95, 4 Pt 2.79-2.82
Pt: 0.8223 0.1384 0.9507  4 Pt 2.68-2.82, 5 Ta 2.71-2.99